Below is Pm3TmS after structural relaxation, with properties calculated at the GGA-PBE level.

Lattice parameters (Å, degrees): 5.4384 5.4384 5.4384 90.00 90.00 90.00
Fractional positions:
1 Pm 0.0000 0.0000 0.5000
2 S 0.0000 0.0000 0.0000
3 Tm 0.5000 0.5000 0.5000
4 Pm 0.0000 0.5000 0.0000
5 Pm 0.5000 0.0000 0.0000

- Raw formation energy: -0.664 eV per atom
- Uncorrected energy: -5.23 eV per atom
- Crystal system: cubic
- Volume: 32.169 A^3/atom
- DOS at the Fermi energy: 5.7 states/eV/f.u.

***

Below is PmTm3S4 after structural relaxation, with properties calculated at the GGA-PBE level.

Lattice parameters (Å, degrees): 5.5088 5.5088 5.5088 90.00 90.00 90.00
Fractional positions:
1 Tm 0.0000 0.5000 0.5000
2 S 0.0000 0.5000 0.0000
3 S 0.5000 0.5000 0.5000
4 Tm 0.5000 0.0000 0.5000
5 Pm 0.0000 0.0000 0.0000
6 S 0.5000 0.0000 0.0000
7 S 0.0000 0.0000 0.5000
8 Tm 0.5000 0.5000 0.0000

- Raw formation energy: -1.918 eV per atom
- Uncorrected energy: -6.25 eV per atom
- Crystal system: cubic
- Volume: 20.897 A^3/atom
- DOS at the Fermi energy: 4.6 states/eV/f.u.

***

Below is PmTmS after structural relaxation, with properties calculated at the GGA-PBE level.

Lattice parameters (Å, degrees): 6.4072 3.7961 3.7961 120.00 90.00 90.00
Fractional positions:
1 Tm 0.0752 0.0000 0.0000
2 S 0.3229 0.3333 0.6667
3 Pm 0.6019 0.6667 0.3333

- Raw formation energy: -1.249 eV per atom
- Uncorrected energy: -5.70 eV per atom
- Crystal system: trigonal
- Volume: 26.653 A^3/atom
- DOS at the Fermi energy: 1.3 states/eV/f.u.